1.
VGe2S4: optimized geometry, PBE-GGA.

```
7
Lattice="-3.5339 3.5339 3.2196 3.5339 -3.5339 3.2196 3.5339 3.5339 -3.2196" Properties=species:S:1:pos:R:3 pbc="T T T"
V 0.0000 0.0000 0.0000
Ge 3.5339 0.0000 1.6098
Ge 0.0000 3.5339 1.6098
S 4.9678 1.1509 0.0000
S 1.1509 2.0999 0.0000
S 2.3830 1.4340 3.2196
S -1.4340 2.3830 3.2196
```

Formation energy from raw total energies, eV/f.u.: -1.105
Fermi-level density of states, states/eV per cell: 6.0
Magnetization, Bohr magnetons per cell: 2.60
Space group: I4/m, No. 87
Final energy, eV per atom: -5.1383

2.
Ba2SrPt2: optimized geometry, PBE-GGA.

```
5
Lattice="-2.4964 2.4964 6.7737 2.4964 -2.4964 6.7737 2.4964 2.4964 -6.7737" Properties=species:S:1:pos:R:3 pbc="T T T"
Ba 2.4964 0.0000 3.3868
Ba 0.0000 2.4964 3.3868
Sr 0.0000 0.0000 0.0000
Pt 0.0000 0.0000 5.4519
Pt 0.0000 0.0000 8.0954
```

Energy of formation from the pure elements, eV/atom: -0.461
Fermi-level density of states, states/eV per cell: 0.5
Magnetization, Bohr magnetons per cell: 0.00
Space group: I4/mmm, No. 139
Final energy, eV per atom: -3.9826

3.
Li4Ga5Ag: optimized geometry, PBE-GGA.

```
10
Lattice="3.2487 0.0000 0.0000 0.0000 3.2487 0.0000 0.0000 0.0000 15.1243" Properties=species:S:1:pos:R:3 pbc="T T T"
Li 0.0000 0.0000 1.5108
Li 0.0000 0.0000 4.4688
Li 0.0000 0.0000 10.6555
Li 0.0000 0.0000 13.6135
Ga 1.6244 1.6244 0.0000
Ga 1.6244 1.6244 3.0058
Ga 1.6244 1.6244 5.8984
Ga 1.6244 1.6244 9.2259
Ga 1.6244 1.6244 12.1185
Ag 0.0000 0.0000 7.5622
```

Energy of formation from the pure elements, eV/atom: -0.210
Fermi-level density of states, states/eV per cell: 3.2
Magnetization, Bohr magnetons per cell: 0.00
Space group: P4/mmm, No. 123
Final energy, eV per atom: -2.7739

4.
CrRh: optimized geometry, PBE-GGA.

```
16
Lattice="9.4014 0.0000 0.0000 0.0000 9.4014 0.0000 0.0000 0.0000 2.6506" Properties=species:S:1:pos:R:3 pbc="T T T"
Cr 0.0533 3.5955 0.0000
Cr 0.2792 7.7868 1.3253
Cr 1.6146 0.2792 1.3253
Cr 3.5955 9.3481 0.0000
Cr 5.8059 0.0533 0.0000
Cr 7.7868 9.1221 1.3253
Cr 9.1221 1.6146 1.3253
Cr 9.3481 5.8059 0.0000
Rh 2.1232 2.6063 1.3253
Rh 2.1820 4.9884 0.0000
Rh 2.6063 7.2782 1.3253
Rh 4.4130 2.1820 0.0000
Rh 4.9884 7.2194 0.0000
Rh 6.7951 2.1232 1.3253
Rh 7.2194 4.4130 0.0000
Rh 7.2782 6.7951 1.3253
```

Energy of formation from the pure elements, eV/atom: 0.463
Fermi-level density of states, states/eV per cell: 23.4
Magnetization, Bohr magnetons per cell: 0.00
Space group: P4/m, No. 83
Final energy, eV per atom: -8.0249

5.
Rb2LaSnTe4: optimized geometry, PBE-GGA.

```
8
Lattice="8.1300 0.0000 0.0000 0.0000 4.6094 0.0000 -2.6410 0.0000 8.5832" Properties=species:S:1:pos:R:3 pbc="T T T"
Rb 0.0000 0.0000 0.0000
Rb 4.0650 2.3047 0.0000
La -1.3205 2.3047 4.2916
Sn 2.7445 0.0000 4.2916
Te 0.1157 0.0000 6.0416
Te 1.4456 2.3047 2.5881
Te 4.0434 2.3047 5.9951
Te 5.3733 0.0000 2.5416
```

Formation energy from raw total energies, eV/f.u.: -7.902
Fermi-level density of states, states/eV per cell: 3.4
Magnetization, Bohr magnetons per cell: 0.00
Space group: P2/m, No. 10
Final energy, eV per atom: -3.9167

6.
LaPr5Sn2: optimized geometry, PBE-GGA.

```
8
Lattice="-2.3253 5.1282 5.7852 2.3253 -5.1282 5.7852 2.3253 5.1282 -5.7852" Properties=species:S:1:pos:R:3 pbc="T T T"
La 0.0000 0.0000 0.0000
Pr 2.3253 3.1674 -1.7820
Pr 2.3253 3.1674 1.7820
Pr 0.0000 5.1282 0.0000
Pr 0.0000 1.9607 4.0031
Pr 0.0000 1.9607 7.5672
Sn 2.3253 0.0000 2.4392
Sn 0.0000 5.1282 3.3460
```

Energy of formation from the pure elements, eV/atom: -0.336
Fermi-level density of states, states/eV per cell: 11.9
Magnetization, Bohr magnetons per cell: 0.00
Space group: Immm, No. 71
Final energy, eV per atom: -4.9403

Q: The highest Fermi-level density of states belongs to which entry?
A: CrRh